Crystalline La2SI at its relaxed geometry, computed with PBE-GGA.

Crystal system ... trigonal
ΔE to the lowest computed polymorph ... 0.018 eV per atom
Formation energy (no corrections) ... -6.349 eV/f.u.

a b c (Å): 4.1454 4.1454 24.1777
angles (deg): 90.00 90.00 120.00
With the nearest neighbours (Å) after each atom.
Space group R3m (No. 160, hexagonal axes)
Symmetry-distinct sites (fractional):
La  0.0000  0.0000  0.0000  3 S 2.88
La  0.0000  0.0000  0.2014  3 S 2.87
S  0.0000  0.0000  0.6003  6 La 2.87-2.88
I  0.0000  0.0000  0.4326  6 La 3.39-3.44

***

Crystalline K2CaGeBr6 at its relaxed geometry, computed with PBE-GGA.

Crystal system ... trigonal
Formation energy (no corrections) ... -14.677 eV/f.u.

a b c (Å): 7.8586 7.8586 19.5231
angles (deg): 90.00 90.00 120.00
With the nearest neighbours (Å) after each atom.
Space group R3 (No. 146, hexagonal axes)
Symmetry-distinct sites (fractional):
K  0.0000  0.0000  0.0000  6 Br 3.31-3.47
K  0.0000  0.0000  0.4994  6 Br 3.30-3.50
Ca  0.0000  0.0000  0.7215  6 Br 2.90-2.94
Ge  0.0000  0.0000  0.2210  6 Br 2.82-2.86
Br  0.0799  0.3352  0.2986  1 Ge 2.82, 1 Ca 2.94
Br  0.0846  0.7391  0.8004  1 Ge 2.86, 1 Ca 2.90

***

Crystalline Zn2Te2Pb at its relaxed geometry, computed with PBE-GGA.

Crystal system ... tetragonal
ΔE to the lowest computed polymorph ... 0.010 eV per atom
Formation energy (no corrections) ... -0.208 eV/f.u.

a b c (Å): 4.1423 4.1423 15.5151
angles (deg): 90.00 90.00 90.00
With the nearest neighbours (Å) after each atom.
Space group I4/mmm (No. 139)
Symmetry-distinct sites (fractional):
Zn  0.0000  0.5000  0.2500  4 Te 2.82, 4 Zn 2.93
Te  0.0000  0.0000  0.1264  4 Zn 2.82
Pb  0.0000  0.0000  0.5000  8 Te 3.53

***

Crystalline Ta2Nb5Os at its relaxed geometry, computed with PBE-GGA.

E_form ... -0.16 eV/atom
Crystal system ... orthorhombic

a b c (Å): 6.5598 13.1762 3.2565
angles (deg): 90.00 90.00 90.00
With the nearest neighbours (Å) after each atom.
Space group Pbam (No. 55)
Symmetry-distinct sites (fractional):
Ta  0.2406  0.1216  0.0000  2 Os 2.78, 6 Nb 2.85-2.88
Nb  0.0000  0.5000  0.5000  4 Nb 2.82, 4 Ta 2.85
Nb  0.0069  0.7507  0.5000  4 Nb 2.82-2.88, 4 Ta 2.85-2.88
Nb  0.2489  0.3764  0.0000  6 Nb 2.82-2.88, 2 Os 2.83
Os  0.0000  0.0000  0.5000  4 Ta 2.78, 4 Nb 2.83